<1>
The following is a PBE calculation of a relaxed structure of Nd4BiC, from the Alexandria database.

a = 8.675 Å, b = 12.032 Å, c = 6.717 Å
α = 90.00°, β = 102.58°, γ = 90.00°
Space group C2/c (No. 15)
Symmetry-distinct sites (fractional):
Nd: 0.103 0.134 0.047
Nd: 0.198 0.394 0.393
Bi: 0.000 0.363 0.750
C: 0.000 0.010 0.750

## Properties
Magnetic moment: 0.0 μB/f.u.

***

<2>
The following is a PBE calculation of a relaxed structure of Nd4BiC, from the Alexandria database.

a = 6.283 Å, b = 7.540 Å, c = 8.218 Å
α = 105.46°, β = 112.45°, γ = 90.04°
Space group P-1 (No. 2)
Symmetry-distinct sites (fractional):
Nd: 0.010 0.448 0.194
Nd: 0.184 0.949 0.195
Nd: 0.246 0.824 0.623
Nd: 0.377 0.324 0.623
Bi: 0.380 0.250 0.000
C: 0.000 0.500 0.500
C: 0.500 0.000 0.500

## Properties
Magnetic moment: 0.0 μB/f.u.

***

The structure with the most favorable energy is <2>; the runner-up is 8.4 kJ/mol of atoms above it.

***

<1>
The following is a PBE calculation of a relaxed structure of Nd4Bi2C, from the Alexandria database.

a = 5.054 Å, b = 5.054 Å, c = 16.587 Å
α = 90.00°, β = 90.00°, γ = 90.00°
Space group I4/mmm (No. 139)
Symmetry-distinct sites (fractional):
Nd: 0.000 0.000 0.155
Nd: 0.000 0.500 0.000
Bi: 0.000 0.000 0.357
C: 0.000 0.000 0.000

## Properties
Magnetic moment: 0.0 μB/f.u.

***

<2>
The following is a PBE calculation of a relaxed structure of Nd4Bi2C, from the Alexandria database.

a = 12.836 Å, b = 3.966 Å, c = 8.766 Å
α = 90.00°, β = 114.42°, γ = 90.00°
Space group C2/m (No. 12)
Symmetry-distinct sites (fractional):
Nd: 0.060 0.000 0.319
Nd: 0.143 0.500 0.048
Bi: 0.158 0.500 0.674
C: 0.000 0.000 0.000

## Properties
Magnetic moment: 0.0 μB/f.u.

***

The structure with the most favorable energy is <1>; the runner-up is 6.1 kJ/mol of atoms above it.

***

<1>
The following is a PBE calculation of a relaxed structure of NiBi3C, from the Alexandria database.

a = 5.079 Å, b = 5.079 Å, c = 5.079 Å
α = 90.00°, β = 90.00°, γ = 90.00°
Space group Pm-3m (No. 221)
Symmetry-distinct sites (fractional):
Ni: 0.000 0.000 0.000
Bi: 0.000 0.000 0.500
C: 0.500 0.500 0.500

## Properties
Magnetic moment: 0.4 μB/f.u.

***

<2>
The following is a PBE calculation of a relaxed structure of NiBi3C, from the Alexandria database.

a = 4.899 Å, b = 4.899 Å, c = 4.899 Å
α = 90.00°, β = 90.00°, γ = 90.00°
Space group Pm-3m (No. 221)
Symmetry-distinct sites (fractional):
Ni: 0.000 0.000 0.000
Bi: 0.000 0.500 0.500
C: 0.500 0.500 0.500

## Properties
Magnetic moment: 0.0 μB/f.u.

***

The structure with the most favorable energy is <2>; the runner-up is 29.5 kJ/mol of atoms above it.

***

<1>
The following is a PBE calculation of a relaxed structure of Ni2BiC, from the Alexandria database.

a = 6.042 Å, b = 6.042 Å, c = 6.042 Å
α = 90.00°, β = 90.00°, γ = 90.00°
Space group Fm-3m (No. 225)
Symmetry-distinct sites (fractional):
Ni: 0.250 0.250 0.250
Bi: 0.000 0.000 0.000
C: 0.000 0.000 0.500

## Properties
Magnetic moment: 0.0 μB/f.u.

***

<2>
The following is a PBE calculation of a relaxed structure of Ni2BiC, from the Alexandria database.

a = 4.653 Å, b = 4.653 Å, c = 11.486 Å
α = 90.00°, β = 90.00°, γ = 90.00°
Space group I-42d (No. 122)
Symmetry-distinct sites (fractional):
Ni: 0.067 0.250 0.125
Bi: 0.000 0.000 0.500
C: 0.000 0.000 0.000

## Properties
Magnetic moment: 0.0 μB/f.u.

***

The structure with the most favorable energy is <2>; the runner-up is 84.1 kJ/mol of atoms above it.

***

<1>
The following is a PBE calculation of a relaxed structure of Ni2Bi2C, from the Alexandria database.

a = 6.977 Å, b = 6.977 Å, c = 3.765 Å
α = 90.00°, β = 90.00°, γ = 90.00°
Space group P4/mbm (No. 127)
Symmetry-distinct sites (fractional):
Ni: 0.120 0.380 0.000
Bi: 0.182 0.682 0.500
C: 0.000 0.000 0.500

## Properties
Magnetic moment: 0.5 μB/f.u.

***

<2>
The following is a PBE calculation of a relaxed structure of Ni2Bi2C, from the Alexandria database.

a = 3.401 Å, b = 3.401 Å, c = 15.095 Å
α = 90.00°, β = 90.00°, γ = 90.00°
Space group I4/mmm (No. 139)
Symmetry-distinct sites (fractional):
Ni: 0.000 0.500 0.250
Bi: 0.000 0.000 0.104
C: 0.000 0.000 0.500

## Properties
Magnetic moment: 0.0 μB/f.u.

***

The structure with the most favorable energy is <2>; the runner-up is 11.9 kJ/mol of atoms above it.

***

<1>
The following is a PBE calculation of a relaxed structure of Bi2CO, from the Alexandria database.

a = 6.420 Å, b = 6.420 Å, c = 6.420 Å
α = 90.00°, β = 90.00°, γ = 90.00°
Space group Fm-3m (No. 225)
Symmetry-distinct sites (fractional):
Bi: 0.250 0.250 0.250
C: 0.000 0.000 0.000
O: 0.000 0.000 0.500

## Properties
Magnetic moment: 0.0 μB/f.u.

***

<2>
The following is a PBE calculation of a relaxed structure of Bi2CO, from the Alexandria database.

a = 5.731 Å, b = 5.731 Å, c = 10.645 Å
α = 90.00°, β = 90.00°, γ = 90.00°
Space group I-42d (No. 122)
Symmetry-distinct sites (fractional):
Bi: 0.245 0.250 0.125
C: 0.000 0.000 0.000
O: 0.000 0.000 0.500

## Properties
Magnetic moment: 0.0 μB/f.u.

***

The structure with the most favorable energy is <2>; the runner-up is 36.2 kJ/mol of atoms above it.

***

<1>
The following is a PBE calculation of a relaxed structure of BiC2O2, from the Alexandria database.

a = 7.408 Å, b = 7.408 Å, c = 2.503 Å
α = 90.00°, β = 90.00°, γ = 90.00°
Space group P4/mbm (No. 127)
Symmetry-distinct sites (fractional):
Bi: 0.000 0.000 0.000
C: 0.197 0.303 0.000
O: 0.122 0.378 0.500

## Properties
Magnetic moment: 0.0 μB/f.u.

***

<2>
The following is a PBE calculation of a relaxed structure of BiC2O2, from the Alexandria database.

a = 4.263 Å, b = 4.263 Å, c = 6.316 Å
α = 90.00°, β = 90.00°, γ = 90.00°
Space group I4/mmm (No. 139)
Symmetry-distinct sites (fractional):
Bi: 0.000 0.000 0.000
C: 0.000 0.000 0.395
O: 0.000 0.500 0.250

## Properties
Magnetic moment: 0.0 μB/f.u.

***

The structure with the most favorable energy is <1>; the runner-up is 32.2 kJ/mol of atoms above it.

***

<1>
The following is a PBE calculation of a relaxed structure of BiCO2, from the Alexandria database.

a = 5.760 Å, b = 5.760 Å, c = 5.760 Å
α = 90.00°, β = 90.00°, γ = 90.00°
Space group Fm-3m (No. 225)
Symmetry-distinct sites (fractional):
Bi: 0.000 0.000 0.000
C: 0.000 0.000 0.500
O: 0.250 0.250 0.250

## Properties
Magnetic moment: 0.0 μB/f.u.

***

<2>
The following is a PBE calculation of a relaxed structure of BiCO2, from the Alexandria database.

a = 3.0752 Å, b = 3.0752 Å, c = 19.3344 Å
α = 90.00°, β = 90.00°, γ = 120.00°
Space group R-3m (No. 166, hexagonal axes)
Symmetry-distinct sites (fractional):
Bi: 0.0000 0.0000 0.0000
C: 0.0000 0.0000 0.5000
O: 0.0000 0.0000 0.1180

## Properties
Magnetic moment: 0.0 μB/f.u.

***

<3>
The following is a PBE calculation of a relaxed structure of BiCO2, from the Alexandria database.

a = 5.198 Å, b = 5.198 Å, c = 7.399 Å
α = 90.00°, β = 90.00°, γ = 90.00°
Space group I4_1/amd (No. 141, origin choice 2)
Symmetry-distinct sites (fractional):
Bi: 0.000 0.250 0.375
C: 0.000 0.250 0.875
O: 0.000 0.000 0.000

## Properties
Magnetic moment: 0.0 μB/f.u.

***

<4>
The following is a PBE calculation of a relaxed structure of BiCO2, from the Alexandria database.

a = 3.3450 Å, b = 3.3450 Å, c = 31.9307 Å
α = 90.00°, β = 90.00°, γ = 120.00°
Space group R-3m (No. 166, hexagonal axes)
Symmetry-distinct sites (fractional):
Bi: 0.0000 0.0000 0.0000
C: 0.0000 0.0000 0.5000
O: 0.0000 0.0000 0.4631

## Properties
Magnetic moment: 0.0 μB/f.u.

***

The structure with the most favorable energy is <4>; the runner-up is 124.6 kJ/mol of atoms above it.

***

<1>
The following is a PBE calculation of a relaxed structure of BiC3O, from the Alexandria database.

a = 3.868 Å, b = 3.868 Å, c = 3.868 Å
α = 90.00°, β = 90.00°, γ = 90.00°
Space group Pm-3m (No. 221)
Symmetry-distinct sites (fractional):
Bi: 0.000 0.000 0.000
C: 0.000 0.500 0.500
O: 0.500 0.500 0.500

## Properties
Magnetic moment: 0.5 μB/f.u.

***

<2>
The following is a PBE calculation of a relaxed structure of BiC3O, from the Alexandria database.

a = 4.547 Å, b = 4.547 Å, c = 4.547 Å
α = 90.00°, β = 90.00°, γ = 90.00°
Space group Pm-3m (No. 221)
Symmetry-distinct sites (fractional):
Bi: 0.000 0.000 0.000
C: 0.000 0.000 0.500
O: 0.500 0.500 0.500

## Properties
Magnetic moment: 1.5 μB/f.u.

***

The structure with the most favorable energy is <1>; the runner-up is 105.9 kJ/mol of atoms above it.

***

<1>
The following is a PBE calculation of a relaxed structure of BiP2CO, from the Alexandria database.

a = 3.668 Å, b = 3.668 Å, c = 5.994 Å
α = 90.00°, β = 90.00°, γ = 90.00°
Space group P4/mmm (No. 123)
Symmetry-distinct sites (fractional):
Bi: 0.000 0.000 0.000
P: 0.000 0.500 0.500
C: 0.500 0.500 0.500
O: 0.500 0.500 0.000

## Properties
Magnetic moment: 0.0 μB/f.u.

***

<2>
The following is a PBE calculation of a relaxed structure of BiP2CO, from the Alexandria database.

a = 5.337 Å, b = 5.337 Å, c = 4.153 Å
α = 90.00°, β = 90.00°, γ = 90.00°
Space group P4/mmm (No. 123)
Symmetry-distinct sites (fractional):
Bi: 0.000 0.000 0.000
P: 0.000 0.500 0.000
C: 0.500 0.500 0.500
O: 0.000 0.000 0.500

## Properties
Magnetic moment: 0.6 μB/f.u.

***

The structure with the most favorable energy is <1>; the runner-up is 123.6 kJ/mol of atoms above it.

***

<1>
The following is a PBE calculation of a relaxed structure of BiOsC3, from the Alexandria database.

a = 4.318 Å, b = 4.318 Å, c = 4.318 Å
α = 90.00°, β = 90.00°, γ = 90.00°
Space group Pm-3m (No. 221)
Symmetry-distinct sites (fractional):
Bi: 0.000 0.000 0.000
Os: 0.500 0.500 0.500
C: 0.000 0.000 0.500

## Properties
Magnetic moment: 0.0 μB/f.u.

***

<2>
The following is a PBE calculation of a relaxed structure of BiOsC3, from the Alexandria database.

a = 4.083 Å, b = 4.083 Å, c = 4.083 Å
α = 90.00°, β = 90.00°, γ = 90.00°
Space group Pm-3m (No. 221)
Symmetry-distinct sites (fractional):
Bi: 0.000 0.000 0.000
Os: 0.500 0.500 0.500
C: 0.000 0.500 0.500

## Properties
Magnetic moment: 0.0 μB/f.u.

***

The structure with the most favorable energy is <2>; the runner-up is 212.0 kJ/mol of atoms above it.

***

<1>
The following is a PBE calculation of a relaxed structure of ScBiOsC2, from the Alexandria database.

a = 4.395 Å, b = 4.395 Å, c = 5.641 Å
α = 90.00°, β = 90.00°, γ = 90.00°
Space group P4/mmm (No. 123)
Symmetry-distinct sites (fractional):
Sc: 0.000 0.000 0.000
Bi: 0.000 0.000 0.500
Os: 0.500 0.500 0.000
C: 0.000 0.500 0.500

## Properties
Magnetic moment: 1.9 μB/f.u.

***

<2>
The following is a PBE calculation of a relaxed structure of ScBiOsC2, from the Alexandria database.

a = 4.000 Å, b = 4.000 Å, c = 5.945 Å
α = 90.00°, β = 90.00°, γ = 90.00°
Space group P4/mmm (No. 123)
Symmetry-distinct sites (fractional):
Sc: 0.000 0.000 0.000
Bi: 0.500 0.500 0.000
Os: 0.500 0.500 0.500
C: 0.000 0.500 0.500

## Properties
Magnetic moment: 0.0 μB/f.u.

***

The structure with the most favorable energy is <2>; the runner-up is 198.1 kJ/mol of atoms above it.